(1)
Below is a geometry-optimized Th2PaPt structure, with properties calculated at the PBE level.

The space group is R-3m (No. 166, hexagonal axes) and the conventional cell measures 3.4267, 3.4267 and 32.3963 Å, with angles of 90.00, 90.00 and 120.00 degrees. The asymmetric unit holds Th at (0.0000, 0.0000, 0.0983), Pa at (0.0000, 0.0000, 0.0000) and Pt at (0.0000, 0.0000, 0.5000).

For the final energy, the calculation gives -7.5780 eV per atom. The calculation puts the formation energy at 0.016 eV/atom. The total moment is 0.00 μB per atom. The offset from the most stable computed form is 0.4443 eV per atom.

(2)
Below is a geometry-optimized ThPaPt4 structure, with properties calculated at the PBE level.

The space group is F-43m (No. 216) and the conventional cell measures 7.775, 7.775 and 7.775 Å, with angles of 90.00, 90.00 and 90.00 degrees. The asymmetric unit holds Th at (0.000, 0.000, 0.000), Pa at (0.250, 0.250, 0.250) and Pt at (0.125, 0.125, 0.625).

For the final energy, the calculation gives -7.7515 eV per atom. The calculation puts the formation energy at -0.905 eV/atom. The total moment is 0.10 μB per atom.

(3)
Below is a geometry-optimized Th2Pa2Pt15 structure, with properties calculated at the PBE level.

The space group is R-3m (No. 166, hexagonal axes) and the conventional cell measures 9.3130, 9.3130 and 14.1311 Å, with angles of 90.00, 90.00 and 120.00 degrees. The asymmetric unit holds Th at (0.0000, 0.0000, 0.1430), Pa at (0.0000, 0.0000, 0.3996), Pt at (0.0000, 0.3158, 0.5000), Pt at (0.0000, 0.5000, 0.0000) and Pt at (0.0036, 0.5018, 0.6571).

For the final energy, the calculation gives -7.2997 eV per atom. The calculation puts the formation energy at -0.750 eV/atom. The total moment is 0.00 μB per atom.

(4)
Below is a geometry-optimized Th2PaPt structure, with properties calculated at the PBE level.

The space group is P4/mmm (No. 123) and the conventional cell measures 3.639, 3.639 and 8.049 Å, with angles of 90.00, 90.00 and 90.00 degrees. The asymmetric unit holds Th at (0.000, 0.000, 0.220), Pa at (0.500, 0.500, 0.500) and Pt at (0.500, 0.500, 0.000).

For the final energy, the calculation gives -8.0222 eV per atom. The calculation puts the formation energy at -0.428 eV/atom. The total moment is 0.00 μB per atom. The offset from the most stable computed form is 0.0000 eV per atom.

(5)
Below is a geometry-optimized PaTiPt structure, with properties calculated at the PBE level.

The space group is Cmcm (No. 63) and the conventional cell measures 3.172, 17.132 and 4.294 Å, with angles of 90.00, 90.00 and 90.00 degrees. The asymmetric unit holds Pa at (0.000, 0.208, 0.250), Ti at (0.000, 0.413, 0.250) and Pt at (0.000, 0.050, 0.250).

For the final energy, the calculation gives -8.3107 eV per atom. The calculation puts the formation energy at -0.500 eV/atom. The total moment is 0.00 μB per atom. The offset from the most stable computed form is 0.0000 eV per atom.

(6)
Below is a geometry-optimized Pa2TiPt structure, with properties calculated at the PBE level.

The space group is P4/mmm (No. 123) and the conventional cell measures 4.226, 4.226 and 4.616 Å, with angles of 90.00, 90.00 and 90.00 degrees. The asymmetric unit holds Pa at (0.000, 0.500, 0.000), Ti at (0.000, 0.000, 0.500) and Pt at (0.500, 0.500, 0.500).

For the final energy, the calculation gives -8.4997 eV per atom. The calculation puts the formation energy at -0.268 eV/atom. The total moment is 0.00 μB per atom.

(7)
Below is a geometry-optimized PaTiPt2 structure, with properties calculated at the PBE level.

The space group is P4/mmm (No. 123) and the conventional cell measures 3.233, 3.233 and 7.054 Å, with angles of 90.00, 90.00 and 90.00 degrees. The asymmetric unit holds Pa at (0.000, 0.000, 0.000), Ti at (0.000, 0.000, 0.500) and Pt at (0.500, 0.500, 0.292).

For the final energy, the calculation gives -8.2060 eV per atom. The calculation puts the formation energy at -0.838 eV/atom. The total moment is 0.00 μB per atom. The offset from the most stable computed form is 0.0207 eV per atom.

(8)
Below is a geometry-optimized PaTiPt structure, with properties calculated at the PBE level.

The space group is P-6m2 (No. 187) and the conventional cell measures 4.4493, 4.4493 and 3.6822 Å, with angles of 90.00, 90.00 and 120.00 degrees. The asymmetric unit holds Pa at (0.0000, 0.0000, 0.0000), Ti at (0.6667, 0.3333, 0.5000) and Pt at (0.3333, 0.6667, 0.5000).

For the final energy, the calculation gives -8.1862 eV per atom. The calculation puts the formation energy at -0.376 eV/atom. The total moment is 0.00 μB per atom. The offset from the most stable computed form is 0.1245 eV per atom.

(9)
Below is a geometry-optimized PaTiPt2 structure, with properties calculated at the PBE level.

The space group is Pmmn (No. 59, origin choice 2) and the conventional cell measures 4.376, 6.756 and 5.284 Å, with angles of 90.00, 90.00 and 90.00 degrees. The asymmetric unit holds Pa at (0.250, 0.250, 0.171), Ti at (0.250, 0.750, 0.289) and Pt at (0.250, 0.029, 0.676).

For the final energy, the calculation gives -8.2035 eV per atom. The calculation puts the formation energy at -0.835 eV/atom. The total moment is 0.04 μB per atom. The offset from the most stable computed form is 0.0232 eV per atom.

(10)
Below is a geometry-optimized PaTiPt2 structure, with properties calculated at the PBE level.

The space group is R-3m (No. 166, hexagonal axes) and the conventional cell measures 4.3384, 4.3384 and 14.6092 Å, with angles of 90.00, 90.00 and 120.00 degrees. The asymmetric unit holds Pa at (0.0000, 0.0000, 0.0000), Ti at (0.0000, 0.0000, 0.5000) and Pt at (0.0000, 0.0000, 0.2217).

For the final energy, the calculation gives -8.2267 eV per atom. The calculation puts the formation energy at -0.859 eV/atom. The total moment is 0.00 μB per atom. The offset from the most stable computed form is 0.0000 eV per atom.

(11)
Below is a geometry-optimized PaTiPt6 structure, with properties calculated at the PBE level.

The space group is P4/mmm (No. 123) and the conventional cell measures 4.082, 4.082 and 8.081 Å, with angles of 90.00, 90.00 and 90.00 degrees. The asymmetric unit holds Pa at (0.000, 0.000, 0.000), Ti at (0.000, 0.000, 0.500), Pt at (0.000, 0.500, 0.262), Pt at (0.500, 0.500, 0.000) and Pt at (0.500, 0.500, 0.500).

For the final energy, the calculation gives -7.5733 eV per atom. The calculation puts the formation energy at -0.869 eV/atom. The total moment is 0.13 μB per atom.

(12)
Below is a geometry-optimized PaTiPt2 structure, with properties calculated at the PBE level.

The space group is P4/mmm (No. 123) and the conventional cell measures 4.375, 4.375 and 3.926 Å, with angles of 90.00, 90.00 and 90.00 degrees. The asymmetric unit holds Pa at (0.000, 0.000, 0.000), Ti at (0.500, 0.500, 0.000) and Pt at (0.000, 0.500, 0.500).

For the final energy, the calculation gives -8.1339 eV per atom. The calculation puts the formation energy at -0.766 eV/atom. The total moment is 0.41 μB per atom. The offset from the most stable computed form is 0.0928 eV per atom.